Computed, not measured: a geometry-optimized KGa2I structure at the GGA-PBE level of DFT.

Lattice parameters (Å, degrees): 9.3689 9.3689 7.3673 50.52 50.52 90.00
Sites, in units of the cell vectors:
K  0.5000  0.5000  0.0000
I  0.0000  0.0000  0.0000
Ga  0.6477  0.1250  0.2500
Ga  0.8750  0.8977  0.7500
Ga  0.1023  0.6250  0.2500
K  0.2500  0.7500  0.5000
I  0.7500  0.2500  0.5000
Ga  0.3750  0.3523  0.7500

* space group: I-42d (122)
* E above lowest polymorph: 0.000 eV per formula unit
* formation energy from raw total energies: -0.061 eV per atom